No. 1
Computed, not measured: a relaxed structure of Nb2CuRe at the PBE-GGA level of DFT.

Output
* energy of formation: 202 meV/atom

a = 6.322 Å, b = 6.322 Å, c = 6.322 Å
α = 90.00°, β = 90.00°, γ = 90.00°
Space group F-43m (No. 216)
Symmetry-distinct sites (fractional):
Nb 0.000 0.000 0.000 (multiplicity 4)
Nb 0.250 0.250 0.250 (multiplicity 4)
Cu 0.250 0.250 0.750 (multiplicity 4)
Re 0.000 0.000 0.500 (multiplicity 4)

No. 2
Computed, not measured: a relaxed structure of NbCuReSn at the PBE-GGA level of DFT.

Output
* ΔE to the lowest computed polymorph: 0.000 eV/atom

a = 6.414 Å, b = 6.414 Å, c = 6.414 Å
α = 90.00°, β = 90.00°, γ = 90.00°
Space group F-43m (No. 216)
Symmetry-distinct sites (fractional):
Nb 0.000 0.000 0.000 (multiplicity 4)
Cu 0.250 0.250 0.750 (multiplicity 4)
Re 0.250 0.250 0.250 (multiplicity 4)
Sn 0.000 0.000 0.500 (multiplicity 4)

The records above yield magnetic moment values of 0.000; 0.000 μB/atom, respectively.